# 1
# PBE TcMo2H4, optimized geometry
# DFT total energy ... -85.02 eV for the cell shown
data_TcMo2H4
_chemical_formula_sum 'Tc2 Mo4 H8'
_space_group_name_H-M_alt 'I 4/m m m'
_space_group_IT_number 139
_space_group_name_Hall '-I 4 2'
_cell_length_a 3.4827
_cell_length_b 3.4827
_cell_length_c 9.8974
_cell_angle_alpha 90.00
_cell_angle_beta 90.00
_cell_angle_gamma 90.00
loop_
_atom_site_label
_atom_site_type_symbol
_atom_site_fract_x
_atom_site_fract_y
_atom_site_fract_z
Tc1 Tc 0.0000 0.0000 0.0000
Mo1 Mo 0.0000 0.0000 0.3570
H1 H 0.0000 0.0000 0.1734
H2 H 0.0000 0.5000 0.0000

=====

# 2
# PBE SrPtBr2, optimized geometry
# Offset from the most stable computed form ... 682 meV/atom
# E_form (uncorrected) ... -0.462 eV per atom
data_SrPtBr2
_chemical_formula_sum 'Sr4 Pt4 Br8'
_space_group_name_H-M_alt 'F -4 3 m'
_space_group_IT_number 216
_space_group_name_Hall 'F -4 2 3'
_cell_length_a 7.4176
_cell_length_b 7.4176
_cell_length_c 7.4176
_cell_angle_alpha 90.00
_cell_angle_beta 90.00
_cell_angle_gamma 90.00
loop_
_atom_site_label
_atom_site_type_symbol
_atom_site_fract_x
_atom_site_fract_y
_atom_site_fract_z
Sr1 Sr 0.0000 0.0000 0.0000
Pt1 Pt 0.2500 0.2500 0.7500
Br1 Br 0.0000 0.0000 0.5000
Br2 Br 0.2500 0.2500 0.2500

=====

# 3
# PBE Nd4Sm2DyMg, optimized geometry
# DFT formation energy ... 1 kJ/mol of atoms
data_Nd4Sm2DyMg
_chemical_formula_sum 'Nd4 Sm2 Dy1 Mg1'
_space_group_name_H-M_alt 'P 4/m m m'
_space_group_IT_number 123
_space_group_name_Hall '-P 4 2'
_cell_length_a 5.0850
_cell_length_b 5.0850
_cell_length_c 10.1548
_cell_angle_alpha 90.00
_cell_angle_beta 90.00
_cell_angle_gamma 90.00
loop_
_atom_site_label
_atom_site_type_symbol
_atom_site_fract_x
_atom_site_fract_y
_atom_site_fract_z
Nd1 Nd 0.0000 0.5000 0.2470
Sm1 Sm 0.0000 0.0000 0.0000
Sm2 Sm 0.5000 0.5000 0.5000
Dy1 Dy 0.0000 0.0000 0.5000
Mg1 Mg 0.5000 0.5000 0.0000

=====

# 4
# PBE AcPmY2S6, optimized geometry
# E_form (uncorrected) ... -2.075 eV per atom
data_AcPmY2S6
_chemical_formula_sum 'Ac3 Pm3 Y6 S18'
_space_group_name_H-M_alt 'R 3'
_space_group_IT_number 146
_space_group_name_Hall 'R 3'
_cell_length_a 7.1472
_cell_length_b 7.1472
_cell_length_c 18.6456
_cell_angle_alpha 90.00
_cell_angle_beta 90.00
_cell_angle_gamma 120.00
loop_
_atom_site_label
_atom_site_type_symbol
_atom_site_fract_x
_atom_site_fract_y
_atom_site_fract_z
Ac1 Ac 0.0000 0.0000 0.0000
Pm1 Pm 0.0000 0.0000 0.5096
Y1 Y 0.0000 0.0000 0.2115
Y2 Y 0.0000 0.0000 0.7160
S1 S 0.0412 0.3565 0.7837
S2 S 0.0686 0.7109 0.2832

=====

# 5
# PBE LaTbZn2Ga2, optimized geometry
# DFT formation energy ... -55 kJ/mol of atoms
data_LaTbZn2Ga2
_chemical_formula_sum 'La1 Tb1 Zn2 Ga2'
_space_group_name_H-M_alt 'P -3 m 1'
_space_group_IT_number 164
_space_group_name_Hall '-P 3 2"'
_cell_length_a 4.4773
_cell_length_b 4.4773
_cell_length_c 7.5895
_cell_angle_alpha 90.00
_cell_angle_beta 90.00
_cell_angle_gamma 120.00
loop_
_atom_site_label
_atom_site_type_symbol
_atom_site_fract_x
_atom_site_fract_y
_atom_site_fract_z
La1 La 0.0000 0.0000 0.0000
Tb1 Tb 0.0000 0.0000 0.5000
Zn1 Zn 0.3333 0.6667 0.2842
Ga1 Ga 0.3333 0.6667 0.7278

=====

# 6
# PBE CdSi2Tc, optimized geometry
# E_form (uncorrected) ... 0.666 eV per atom
data_CdSi2Tc
_chemical_formula_sum 'Cd4 Si8 Tc4'
_space_group_name_H-M_alt 'F -4 3 m'
_space_group_IT_number 216
_space_group_name_Hall 'F -4 2 3'
_cell_length_a 6.3621
_cell_length_b 6.3621
_cell_length_c 6.3621
_cell_angle_alpha 90.00
_cell_angle_beta 90.00
_cell_angle_gamma 90.00
loop_
_atom_site_label
_atom_site_type_symbol
_atom_site_fract_x
_atom_site_fract_y
_atom_site_fract_z
Cd1 Cd 0.0000 0.0000 0.0000
Si1 Si 0.0000 0.0000 0.5000
Si2 Si 0.2500 0.2500 0.7500
Tc1 Tc 0.2500 0.2500 0.2500